Below is LiCaMg2F8 after structural relaxation, with properties calculated at the GGA-PBE level.

Cell lengths 4.874, 6.349, 4.934 Å; angles 90.00, 92.08, 90.00 degrees
Positions (direct):
Li 0.000 0.000 0.000
Ca 0.000 0.500 0.000
Mg 0.500 0.246 0.500
Mg 0.500 0.754 0.500
F 0.209 0.229 0.213
F 0.209 0.771 0.213
F 0.312 0.000 0.691
F 0.323 0.500 0.680
F 0.677 0.500 0.320
F 0.688 0.000 0.309
F 0.791 0.229 0.787
F 0.791 0.771 0.787

VASP energy (Ry per atom): -0.368
Size of the total moment (μB/cell): 1.1
Formation energy (no corrections) (meV/atom): -3172
Fermi-level density of states (states/eV/cell): 10.366